{"formula": "AcPuNi2", "functional": "GGA-PBE", "state": "relaxed", "magmom_total_mub_per_cell": 5.4, "space_group": "P4/mmm, No. 123", "final_energy_ev_per_atom": -7.546, "ef_ev_per_atom": -0.04, "crystal_system": "tetragonal", "lattice": [[3.5607, 0.0000, 0.0000], [0.0000, 3.5607, 0.0000], [0.0000, 0.0000, 6.8680]], "species": ["Ac", "Pu", "Ni", "Ni"], "fractional_positions": [[0.0000, 0.0000, 0.0000], [0.0000, 0.0000, 0.5000], [0.5000, 0.5000, 0.3023], [0.5000, 0.5000, 0.6977]]}